# MgSc2Pt, optimized geometry, DFT PBEsol
# raw total energy	-0.445	Ry per atom
data_MgSc2Pt
_cell_length_a 3.3375
_cell_length_b 4.7439
_cell_length_c 9.9923
_cell_angle_alpha 90.00
_cell_angle_beta 90.00
_cell_angle_gamma 90.00
_symmetry_space_group_name_H-M 'I m m 2'
_symmetry_Int_Tables_number 44
loop_
_symmetry_equiv_pos_as_xyz
'x,y,z'
'-x,-y,z'
'-x,y,z'
'x,-y,z'
'x+1/2,y+1/2,z+1/2'
'-x+1/2,-y+1/2,z+1/2'
'-x+1/2,y+1/2,z+1/2'
'x+1/2,-y+1/2,z+1/2'
loop_
_atom_site_label
_atom_site_type_symbol
_atom_site_fract_x
_atom_site_fract_y
_atom_site_fract_z
Mg1 Mg 0.0000 0.0000 0.0000
Sc1 Sc 0.0000 0.0000 0.4236
Sc2 Sc 0.0000 0.5000 0.2131
Pt1 Pt 0.0000 0.5000 0.7168